Tb2YCu4Si2Sn2 after structural relaxation. Source: OQMD via LeMat-Bulk, functional GGA-PBE.

Calculated values
space-group type	Immm (71)
calculated total energy	-0.187	Ha/atom
magnetic moment	0.0	μB per formula unit
offset from the most stable computed form	0.0000	eV per atom

Cell: 8.212 8.212 8.212 Å, 149.36 132.38 57.69°
Sites, in units of the cell vectors:
Tb1 0.125 0.125 0.000
Tb2 0.875 0.875 0.000
Y1 0.500 0.000 0.500
Cu1 0.157 0.347 0.810
Cu2 0.463 0.653 0.810
Cu3 0.537 0.347 0.190
Cu4 0.843 0.653 0.190
Si1 0.182 0.500 0.682
Si2 0.818 0.500 0.318
Sn1 0.282 0.782 0.500
Sn2 0.718 0.218 0.500

---

TbY2Cu4Si2Sn2 after structural relaxation. Source: OQMD via LeMat-Bulk, functional GGA-PBE.

Calculated values
space-group type	Immm (71)
calculated total energy	-0.191	Ha/atom
magnetic moment	0.0	μB per formula unit
offset from the most stable computed form	0.0755	eV per atom

Cell: 8.172 8.172 8.172 Å, 150.00 130.27 59.17°
Sites, in units of the cell vectors:
Tb1 0.000 0.000 0.000
Y1 0.365 0.865 0.500
Y2 0.635 0.135 0.500
Cu1 0.007 0.319 0.689
Cu2 0.370 0.681 0.689
Cu3 0.630 0.319 0.311
Cu4 0.993 0.681 0.311
Si1 0.216 0.216 0.000
Si2 0.784 0.784 0.000
Sn1 0.297 0.500 0.797
Sn2 0.703 0.500 0.203

---

Tb2YCu4Si2Sn2 after structural relaxation. Source: OQMD via LeMat-Bulk, functional GGA-PBE.

Calculated values
space-group type	Immm (71)
calculated total energy	-0.185	Ha/atom
magnetic moment	0.0	μB per formula unit
offset from the most stable computed form	0.0742	eV per atom

Cell: 8.194 8.194 8.194 Å, 149.99 130.56 58.93°
Sites, in units of the cell vectors:
Tb1 0.136 0.136 0.000
Tb2 0.864 0.864 0.000
Y1 0.500 0.000 0.500
Cu1 0.132 0.320 0.812
Cu2 0.492 0.680 0.812
Cu3 0.508 0.320 0.188
Cu4 0.868 0.680 0.188
Si1 0.284 0.784 0.500
Si2 0.716 0.216 0.500
Sn1 0.203 0.500 0.703
Sn2 0.797 0.500 0.297

---

TbY2Cu4Si2Sn2 after structural relaxation. Source: OQMD via LeMat-Bulk, functional GGA-PBE.

Calculated values
space-group type	Immm (71)
calculated total energy	-0.193	Ha/atom
magnetic moment	0.0	μB per formula unit
offset from the most stable computed form	0.0000	eV per atom

Cell: 8.219 8.219 8.219 Å, 149.44 132.32 57.70°
Sites, in units of the cell vectors:
Tb1 0.000 0.000 0.000
Y1 0.376 0.876 0.500
Y2 0.624 0.124 0.500
Cu1 0.036 0.347 0.690
Cu2 0.343 0.653 0.690
Cu3 0.657 0.347 0.310
Cu4 0.964 0.653 0.310
Si1 0.318 0.500 0.818
Si2 0.682 0.500 0.182
Sn1 0.218 0.218 0.000
Sn2 0.782 0.782 0.000

---

Tm2Cu2SiSn after structural relaxation. Source: OQMD via LeMat-Bulk, functional GGA-PBE.

Calculated values
space-group type	P3m1 (156)
calculated total energy	-0.180	Ha/atom
magnetic moment	0.0	μB per formula unit

Cell: 4.352 4.352 7.049 Å, 90.00 90.00 120.00°
Sites, in units of the cell vectors:
Tm1 0.000 0.000 0.000
Tm2 0.000 0.000 0.478
Cu1 0.333 0.667 0.192
Cu2 0.667 0.333 0.658
Si1 0.667 0.333 0.266
Sn1 0.333 0.667 0.761

---

Y2Cu2SiSn after structural relaxation. Source: OQMD via LeMat-Bulk, functional GGA-PBE.

Calculated values
space-group type	P-6m2 (187)
calculated total energy	-0.204	Ha/atom
magnetic moment	0.0	μB per formula unit
offset from the most stable computed form	0.0000	eV per atom

Cell: 4.326 4.326 7.523 Å, 90.00 90.00 120.00°
Sites, in units of the cell vectors:
Y1 0.000 0.000 0.238
Y2 0.000 0.000 0.762
Cu1 0.333 0.667 0.000
Cu2 0.667 0.333 0.500
Si1 0.667 0.333 0.000
Sn1 0.333 0.667 0.500

---

Y2Cu2SiSn after structural relaxation. Source: OQMD via LeMat-Bulk, functional GGA-PBE.

Calculated values
space-group type	Pm (6)
calculated total energy	-0.202	Ha/atom
magnetic moment	0.0	μB per formula unit
offset from the most stable computed form	0.0502	eV per atom

Cell: 10.932 4.472 10.950 Å, 90.00 109.43 90.00°
Sites, in units of the cell vectors:
Y1 0.000 0.000 0.000
Y2 0.117 0.500 0.371
Y3 0.239 0.000 0.743
Y4 0.374 0.500 0.117
Y5 0.508 0.000 0.492
Y6 0.634 0.500 0.879
Y7 0.754 0.000 0.249
Y8 0.876 0.500 0.616
Cu1 0.119 0.500 0.620
Cu2 0.242 0.000 0.989
Cu3 0.381 0.500 0.370
Cu4 0.499 0.000 0.745
Cu5 0.633 0.500 0.132
Cu6 0.756 0.000 0.491
Cu7 0.887 0.500 0.876
Cu8 0.995 0.000 0.247
Si1 0.122 0.500 0.871
Si2 0.627 0.500 0.368
Si3 0.876 0.500 0.124
Si4 0.997 0.000 0.494
Sn1 0.251 0.000 0.247
Sn2 0.377 0.500 0.621
Sn3 0.501 0.000 0.996
Sn4 0.753 0.000 0.747

---

Y3Cu4Si2Sn2 after structural relaxation. Source: OQMD via LeMat-Bulk, functional GGA-PBE.

Calculated values
space-group type	Immm (71)
calculated total energy	-0.200	Ha/atom
magnetic moment	0.0	μB per formula unit

Cell: 8.221 8.221 8.221 Å, 149.45 132.31 57.70°
Sites, in units of the cell vectors:
Y1 0.000 0.000 0.000
Y2 0.376 0.876 0.500
Y3 0.624 0.124 0.500
Cu1 0.036 0.347 0.689
Cu2 0.343 0.653 0.689
Cu3 0.657 0.347 0.311
Cu4 0.964 0.653 0.311
Si1 0.318 0.500 0.818
Si2 0.682 0.500 0.182
Sn1 0.218 0.218 0.000
Sn2 0.782 0.782 0.000

---

Copy entry 2 word for word.
TbY2Cu4Si2Sn2 after structural relaxation. Source: OQMD via LeMat-Bulk, functional GGA-PBE.

Calculated values
space-group type	Immm (71)
calculated total energy	-0.191	Ha/atom
magnetic moment	0.0	μB per formula unit
offset from the most stable computed form	0.0755	eV per atom

Cell: 8.172 8.172 8.172 Å, 150.00 130.27 59.17°
Sites, in units of the cell vectors:
Tb1 0.000 0.000 0.000
Y1 0.365 0.865 0.500
Y2 0.635 0.135 0.500
Cu1 0.007 0.319 0.689
Cu2 0.370 0.681 0.689
Cu3 0.630 0.319 0.311
Cu4 0.993 0.681 0.311
Si1 0.216 0.216 0.000
Si2 0.784 0.784 0.000
Sn1 0.297 0.500 0.797
Sn2 0.703 0.500 0.203

---

> The highest calculated total energy belongs to which entry?

Tm2Cu2SiSn